Entry 1:
MnCdRe2 | PBE | optimized geometry

Unit cell a=2.679 b=4.499 c=5.237 alpha=90.00 beta=100.93 gamma=90.00
Atoms (fractional coordinates):
Mn1 0.000 0.000 0.000
Cd1 0.500 0.000 0.500
Re1 0.228 0.500 0.763
Re2 0.772 0.500 0.237

Magnetization: 2.5 μB per formula unit
Crystal system: monoclinic
Raw total energy: -33.02 eV per formula unit
ρ: 14.461 g/cm3
Calculated formation energy: 489 meV per atom



Entry 2:
MnCdRe2 | PBE | optimized geometry

Unit cell a=4.805 b=4.805 c=5.052 alpha=98.47 beta=98.47 gamma=32.98
Atoms (fractional coordinates):
Mn1 0.000 0.000 0.000
Cd1 0.245 0.245 0.769
Re1 0.485 0.485 0.463
Re2 0.727 0.727 0.266

Magnetization: 2.5 μB per formula unit
Crystal system: monoclinic
Raw total energy: -33.07 eV per formula unit
ρ: 14.285 g/cm3
Calculated formation energy: 479 meV per atom



Entry 3:
MnCdRe | PBE | optimized geometry

Unit cell a=5.941 b=5.941 c=5.941 alpha=151.82 beta=151.82 gamma=40.28
Atoms (fractional coordinates):
Mn1 0.000 0.000 0.000
Cd1 0.317 0.317 0.000
Re1 0.617 0.617 0.000

Magnetization: 0.0 μB per formula unit
Crystal system: tetragonal
Distance to the lowest polymorph of the same formula: 0 meV per atom
Raw total energy: -21.59 eV per formula unit
ρ: 12.575 g/cm3
Calculated formation energy: 313 meV per atom



Entry 4:
Mn2CdRe2 | PBE | optimized geometry

Unit cell a=7.314 b=7.314 c=2.720 alpha=90.00 beta=90.00 gamma=90.00
Atoms (fractional coordinates):
Mn1 0.129 0.371 0.000
Mn2 0.371 0.871 0.000
Mn3 0.629 0.129 0.000
Mn4 0.871 0.629 0.000
Cd1 0.000 0.000 0.000
Cd2 0.500 0.500 0.000
Re1 0.158 0.658 0.500
Re2 0.342 0.158 0.500
Re3 0.658 0.842 0.500
Re4 0.842 0.342 0.500

Magnetization: 0.0 μB per formula unit
Crystal system: tetragonal
Raw total energy: -42.65 eV per formula unit
ρ: 13.571 g/cm3
Calculated formation energy: 301 meV per atom